Record 1
# MgReIr | Alexandria via LeMat-Bulk | GGA-PBE | optimized geometry
data_MgReIr
_chemical_formula_sum 'Mg2 Re2 Ir2'
_cell_length_a 4.8810
_cell_length_b 4.8810
_cell_length_c 5.4395
_cell_angle_alpha 106.40
_cell_angle_beta 106.40
_cell_angle_gamma 49.15
_symmetry_space_group_name_H-M 'P 1'
_symmetry_Int_Tables_number 1
loop_
_symmetry_equiv_pos_as_xyz
'x,y,z'
loop_
_atom_site_label
_atom_site_type_symbol
_atom_site_fract_x
_atom_site_fract_y
_atom_site_fract_z
_atom_site_occupancy
Mg1 Mg 0.0000 0.0000 0.0000 1
Mg2 Mg 0.6586 0.6586 0.8528 1
Re1 Re 0.3063 0.3063 0.6298 1
Re2 Re 0.6800 0.6800 0.3745 1
Ir1 Ir 0.3456 0.3456 0.1385 1
Ir2 Ir 0.9929 0.9929 0.4922 1
# Energy above the most stable polymorph in this dataset in meV per atom: 114
# Size of the total moment in μB per formula unit: 0.0
# V in Å³ per cell: 93


Record 2
# TlCdRu2Pb | Alexandria via LeMat-Bulk | GGA-PBE | optimized geometry
data_TlCdRu2Pb
_chemical_formula_sum 'Tl1 Cd1 Ru2 Pb1'
_cell_length_a 5.0892
_cell_length_b 5.0892
_cell_length_c 5.2423
_cell_angle_alpha 90.00
_cell_angle_beta 90.00
_cell_angle_gamma 90.00
_symmetry_space_group_name_H-M 'P 1'
_symmetry_Int_Tables_number 1
loop_
_symmetry_equiv_pos_as_xyz
'x,y,z'
loop_
_atom_site_label
_atom_site_type_symbol
_atom_site_fract_x
_atom_site_fract_y
_atom_site_fract_z
_atom_site_occupancy
Tl1 Tl 0.0000 0.0000 0.0000 1
Cd1 Cd 0.0000 0.0000 0.5000 1
Ru1 Ru 0.0000 0.5000 0.5000 1
Ru2 Ru 0.5000 0.0000 0.5000 1
Pb1 Pb 0.5000 0.5000 0.0000 1
# Total energy in eV per cell: -17.76
# Size of the total moment in μB per formula unit: 3.8
# V in Å³ per cell: 136


Record 3
# PrHo12Sc6 | Alexandria via LeMat-Bulk | GGA-PBE | optimized geometry
data_PrHo12Sc6
_chemical_formula_sum 'Pr1 Ho12 Sc6'
_cell_length_a 8.9912
_cell_length_b 8.9912
_cell_length_c 8.9912
_cell_angle_alpha 107.20
_cell_angle_beta 107.20
_cell_angle_gamma 107.20
_symmetry_space_group_name_H-M 'P 1'
_symmetry_Int_Tables_number 1
loop_
_symmetry_equiv_pos_as_xyz
'x,y,z'
loop_
_atom_site_label
_atom_site_type_symbol
_atom_site_fract_x
_atom_site_fract_y
_atom_site_fract_z
_atom_site_occupancy
Pr1 Pr 0.0000 0.0000 0.0000 1
Ho1 Ho 0.1127 0.5000 0.8873 1
Ho2 Ho 0.1127 0.8873 0.5000 1
Ho3 Ho 0.1521 0.3792 0.3792 1
Ho4 Ho 0.3792 0.1521 0.3792 1
Ho5 Ho 0.3792 0.3792 0.1521 1
Ho6 Ho 0.5000 0.1127 0.8873 1
Ho7 Ho 0.5000 0.8873 0.1127 1
Ho8 Ho 0.6208 0.6208 0.8479 1
Ho9 Ho 0.6208 0.8479 0.6208 1
Ho10 Ho 0.8479 0.6208 0.6208 1
Ho11 Ho 0.8873 0.1127 0.5000 1
Ho12 Ho 0.8873 0.5000 0.1127 1
Sc1 Sc 0.2766 0.6938 0.6938 1
Sc2 Sc 0.3062 0.3062 0.7234 1
Sc3 Sc 0.3062 0.7234 0.3062 1
Sc4 Sc 0.6938 0.2766 0.6938 1
Sc5 Sc 0.6938 0.6938 0.2766 1
Sc6 Sc 0.7234 0.3062 0.3062 1
# Energy above the most stable polymorph in this dataset in meV per atom: 174
# Size of the total moment in μB per formula unit: 0.0
# V in Å³ per cell: 602


Record 4
# PrSmYN3 | Alexandria via LeMat-Bulk | GGA-PBE | optimized geometry
data_PrSmYN3
_chemical_formula_sum 'Pr2 Sm2 Y2 N6'
_cell_length_a 6.1390
_cell_length_b 3.5732
_cell_length_c 9.2328
_cell_angle_alpha 90.00
_cell_angle_beta 101.77
_cell_angle_gamma 90.00
_symmetry_space_group_name_H-M 'P 1'
_symmetry_Int_Tables_number 1
loop_
_symmetry_equiv_pos_as_xyz
'x,y,z'
loop_
_atom_site_label
_atom_site_type_symbol
_atom_site_fract_x
_atom_site_fract_y
_atom_site_fract_z
_atom_site_occupancy
Pr1 Pr 0.1514 0.2500 0.1958 1
Pr2 Pr 0.8486 0.7500 0.8042 1
Sm1 Sm 0.2695 0.7500 0.5455 1
Sm2 Sm 0.7305 0.2500 0.4545 1
Y1 Y 0.3525 0.2500 0.8611 1
Y2 Y 0.6475 0.7500 0.1389 1
N1 N 0.0398 0.2500 0.6726 1
N2 N 0.2558 0.7500 0.9900 1
N3 N 0.4650 0.7500 0.3435 1
N4 N 0.5350 0.2500 0.6565 1
N5 N 0.7442 0.2500 0.0100 1
N6 N 0.9602 0.7500 0.3274 1
# Energy relative to the elements, uncorrected in eV/f.u.: -7.97
# Size of the total moment in μB per formula unit: 0.0
# V in Å³ per cell: 198


Record 5
# SmDy2ErTm2 | Alexandria via LeMat-Bulk | GGA-PBE | optimized geometry
data_SmDy2ErTm2
_chemical_formula_sum 'Sm2 Dy4 Er2 Tm4'
_cell_length_a 6.0339
_cell_length_b 18.0258
_cell_length_c 3.5000
_cell_angle_alpha 90.00
_cell_angle_beta 90.00
_cell_angle_gamma 90.00
_symmetry_space_group_name_H-M 'P 1'
_symmetry_Int_Tables_number 1
loop_
_symmetry_equiv_pos_as_xyz
'x,y,z'
loop_
_atom_site_label
_atom_site_type_symbol
_atom_site_fract_x
_atom_site_fract_y
_atom_site_fract_z
_atom_site_occupancy
Sm1 Sm 0.0000 0.0000 0.0000 1
Sm2 Sm 0.5000 0.5000 0.5000 1
Dy1 Dy 0.1654 0.3427 0.5000 1
Dy2 Dy 0.3346 0.8427 0.0000 1
Dy3 Dy 0.6654 0.1573 0.0000 1
Dy4 Dy 0.8346 0.6573 0.5000 1
Er1 Er 0.0000 0.5000 0.0000 1
Er2 Er 0.5000 0.0000 0.5000 1
Tm1 Tm 0.1655 0.1573 0.5000 1
Tm2 Tm 0.3345 0.6573 0.0000 1
Tm3 Tm 0.6655 0.3427 0.0000 1
Tm4 Tm 0.8345 0.8427 0.5000 1
# Total energy in eV per cell: -53.54
# Size of the total moment in μB per formula unit: 0.0
# V in Å³ per cell: 381


Record 6
# Er7Cd2Pt2 | Alexandria via LeMat-Bulk | GGA-PBE | optimized geometry
data_Er7Cd2Pt2
_chemical_formula_sum 'Er7 Cd2 Pt2'
_cell_length_a 6.7769
_cell_length_b 6.7769
_cell_length_c 7.0720
_cell_angle_alpha 90.00
_cell_angle_beta 90.00
_cell_angle_gamma 106.39
_symmetry_space_group_name_H-M 'P 1'
_symmetry_Int_Tables_number 1
loop_
_symmetry_equiv_pos_as_xyz
'x,y,z'
loop_
_atom_site_label
_atom_site_type_symbol
_atom_site_fract_x
_atom_site_fract_y
_atom_site_fract_z
_atom_site_occupancy
Er1 Er 0.0000 0.0000 0.0000 1
Er2 Er 0.0000 0.5000 0.2537 1
Er3 Er 0.0000 0.5000 0.7463 1
Er4 Er 0.5000 0.0000 0.2537 1
Er5 Er 0.5000 0.0000 0.7463 1
Er6 Er 0.5000 0.5000 0.2477 1
Er7 Er 0.5000 0.5000 0.7523 1
Cd1 Cd 0.1755 0.1755 0.5000 1
Cd2 Cd 0.8245 0.8245 0.5000 1
Pt1 Pt 0.2871 0.7129 0.0000 1
Pt2 Pt 0.7129 0.2871 0.0000 1
# Total energy in eV per cell: -51.26
# Size of the total moment in μB per formula unit: 0.0
# V in Å³ per cell: 312